#A
Computed, not measured: a relaxed Fe2Co2Ir7 crystal at the PBE-GGA level of DFT.

a = 6.0108 Å, b = 6.0108 Å, c = 4.6063 Å
α = 97.25°, β = 97.25°, γ = 78.58°
Closest atoms and distances in Å follow each position.
Sites, in units of the cell vectors:
Fe (0.1866, 0.8134, 0.0000)  8 Ir 2.57-2.83, 2 Co 2.65, 1 Fe 2.84
Fe (0.8134, 0.1866, 0.0000)  8 Ir 2.57-2.83, 2 Co 2.65, 1 Fe 2.84
Co (0.2279, 0.2279, 0.2476)  7 Ir 2.48-2.70, 2 Fe 2.65
Co (0.7721, 0.7721, 0.7524)  7 Ir 2.48-2.70, 2 Fe 2.65
Ir (0.0000, 0.0000, 0.5000)  2 Co 2.58, 4 Ir 2.60, 4 Fe 2.71
Ir (0.0454, 0.4048, 0.7424)  3 Co 2.48-2.70, 1 Fe 2.57, 5 Ir 2.57-2.74
Ir (0.4048, 0.0454, 0.7424)  3 Co 2.48-2.70, 1 Fe 2.57, 5 Ir 2.57-2.74
Ir (0.4580, 0.4580, 0.7295)  4 Ir 2.37-2.57
Ir (0.5420, 0.5420, 0.2705)  4 Ir 2.37-2.57
Ir (0.5952, 0.9546, 0.2576)  3 Co 2.48-2.70, 1 Fe 2.57, 5 Ir 2.57-2.74
Ir (0.9546, 0.5952, 0.2576)  3 Co 2.48-2.70, 1 Fe 2.57, 5 Ir 2.57-2.74

Properties
Calculated volume in Å³ per cell: 160.9
Magnetic moment in μB/f.u.: 7.9

***

#B
Computed, not measured: a relaxed Fe2Co2Ir7 crystal at the PBE-GGA level of DFT.

a = 4.9036 Å, b = 4.9036 Å, c = 6.2885 Å
α = 97.17°, β = 97.17°, γ = 92.02°
Closest atoms and distances in Å follow each position.
Sites, in units of the cell vectors:
Fe (0.1019, 0.1019, 0.3477)  2 Co 2.53, 8 Ir 2.53-2.71, 1 Fe 2.56
Fe (0.8981, 0.8981, 0.6523)  2 Co 2.53, 8 Ir 2.53-2.71, 1 Fe 2.56
Co (0.1832, 0.8168, 0.0000)  2 Fe 2.53, 8 Ir 2.56-2.65, 1 Co 2.58
Co (0.8168, 0.1832, 0.0000)  2 Fe 2.53, 8 Ir 2.56-2.65, 1 Co 2.58
Ir (0.0304, 0.4120, 0.6938)  3 Fe 2.53-2.56, 2 Co 2.61-2.65, 6 Ir 2.67-2.80
Ir (0.3291, 0.3291, 0.0705)  1 Fe 2.53, 4 Co 2.56-2.60, 6 Ir 2.64-2.74
Ir (0.4120, 0.0304, 0.6938)  3 Fe 2.53-2.56, 2 Co 2.61-2.65, 6 Ir 2.67-2.80
Ir (0.5000, 0.5000, 0.5000)  2 Fe 2.71, 10 Ir 2.74-2.80
Ir (0.5880, 0.9696, 0.3062)  3 Fe 2.53-2.56, 2 Co 2.61-2.65, 6 Ir 2.67-2.80
Ir (0.6709, 0.6709, 0.9295)  1 Fe 2.53, 4 Co 2.56-2.60, 6 Ir 2.64-2.74
Ir (0.9696, 0.5880, 0.3062)  3 Fe 2.53-2.56, 2 Co 2.61-2.65, 6 Ir 2.67-2.80

Properties
Calculated volume in Å³ per cell: 148.7
Magnetic moment in μB/f.u.: 6.6

***

#B wins, 20.6 kJ/mol of atoms ahead of the next structure.

***

#A
Computed, not measured: a relaxed FeCo2Ir2 crystal at the PBE-GGA level of DFT.

a = 7.1418 Å, b = 7.1418 Å, c = 2.6727 Å
α = 90.00°, β = 90.00°, γ = 90.00°
Closest atoms and distances in Å follow each position.
Sites, in units of the cell vectors:
Fe (0.0000, 0.0000, 0.0000)  2 Fe 2.67, 4 Ir 2.79, 8 Co 2.97
Fe (0.5000, 0.5000, 0.0000)  2 Fe 2.67, 4 Ir 2.79, 8 Co 2.97
Co (0.1679, 0.3321, 0.5000)  6 Ir 2.43-2.53, 2 Co 2.67
Co (0.3321, 0.8321, 0.5000)  6 Ir 2.43-2.53, 2 Co 2.67
Co (0.6679, 0.1679, 0.5000)  6 Ir 2.43-2.53, 2 Co 2.67
Co (0.8321, 0.6679, 0.5000)  6 Ir 2.43-2.53, 2 Co 2.67
Ir (0.1314, 0.6314, 0.0000)  6 Co 2.43-2.53, 3 Ir 2.66-2.67
Ir (0.3686, 0.1314, 0.0000)  6 Co 2.43-2.53, 3 Ir 2.66-2.67
Ir (0.6314, 0.8686, 0.0000)  6 Co 2.43-2.53, 3 Ir 2.66-2.67
Ir (0.8686, 0.3686, 0.0000)  6 Co 2.43-2.53, 3 Ir 2.66-2.67

Properties
Calculated volume in Å³ per cell: 136.3
Magnetic moment in μB/f.u.: 6.7

***

#B
Computed, not measured: a relaxed FeCo2Ir2 crystal at the PBE-GGA level of DFT.

a = 4.4634 Å, b = 4.4634 Å, c = 6.8370 Å
α = 90.00°, β = 90.20°, γ = 90.00°
Closest atoms and distances in Å follow each position.
Sites, in units of the cell vectors:
Fe (0.0000, 0.0000, 0.0000)  8 Ir 2.60-2.63
Fe (0.5000, 0.5000, 0.0000)  8 Ir 2.60-2.63
Co (0.2500, 0.2500, 0.5000)  4 Co 2.23
Co (0.2500, 0.7500, 0.5000)  4 Co 2.23
Co (0.7500, 0.2500, 0.5000)  4 Co 2.23
Co (0.7500, 0.7500, 0.5000)  4 Co 2.23
Ir (0.0031, 0.5000, 0.8011)  4 Co 2.59-2.60, 4 Fe 2.60-2.63, 1 Ir 2.72
Ir (0.4969, 0.0000, 0.1989)  4 Co 2.59-2.60, 4 Fe 2.60-2.63, 1 Ir 2.72
Ir (0.5031, 0.0000, 0.8011)  4 Co 2.59-2.60, 4 Fe 2.60-2.63, 1 Ir 2.72
Ir (0.9969, 0.5000, 0.1989)  4 Co 2.59-2.60, 4 Fe 2.60-2.63, 1 Ir 2.72

Properties
Calculated volume in Å³ per cell: 136.2
Magnetic moment in μB/f.u.: 6.8

***

#A wins, 13.7 kJ/mol of atoms ahead of the next structure.

***

#A
Computed, not measured: a relaxed FeCo2TcIr crystal at the PBE-GGA level of DFT.

a = 4.3238 Å, b = 4.3238 Å, c = 4.6927 Å
α = 90.00°, β = 90.00°, γ = 90.00°
Closest atoms and distances in Å follow each position.
Sites, in units of the cell vectors:
Fe (0.0000, 0.0000, 0.0000)  4 Ir 3.06, 8 Co 3.19
Co (0.0000, 0.5000, 0.5000)  2 Tc 2.16
Co (0.5000, 0.0000, 0.5000)  2 Tc 2.16
Tc (0.5000, 0.5000, 0.5000)  4 Co 2.16, 2 Ir 2.35
Ir (0.5000, 0.5000, 0.0000)  2 Tc 2.35

Properties
Calculated volume in Å³ per cell: 87.7
Magnetic moment in μB/f.u.: 1.2

***

#B
Computed, not measured: a relaxed FeCo2TcIr crystal at the PBE-GGA level of DFT.

a = 4.5163 Å, b = 4.5163 Å, c = 4.6437 Å
α = 90.00°, β = 90.00°, γ = 90.00°
Closest atoms and distances in Å follow each position.
Sites, in units of the cell vectors:
Fe (0.0000, 0.0000, 0.0000)  4 Tc 3.19, 8 Co 3.24
Co (0.0000, 0.5000, 0.5000)  2 Ir 2.26
Co (0.5000, 0.0000, 0.5000)  2 Ir 2.26
Tc (0.5000, 0.5000, 0.0000)  2 Ir 2.32
Ir (0.5000, 0.5000, 0.5000)  4 Co 2.26, 2 Tc 2.32

Properties
Calculated volume in Å³ per cell: 94.7
Magnetic moment in μB/f.u.: 8.3

***

#B wins, 27.2 kJ/mol of atoms ahead of the next structure.